Compound: Nd2InCl
Source: Alexandria via LeMat-Bulk
Functional: PBE
Structure: optimized geometry

```
data_Nd2InCl
_symmetry_space_group_name_H-M 'R -3 m'
_symmetry_Int_Tables_number 166
_symmetry_space_group_name_Hall '-R 3 2"'
_cell_length_a 4.0350
_cell_length_b 4.0350
_cell_length_c 23.9917
_cell_angle_alpha 90.00
_cell_angle_beta 90.00
_cell_angle_gamma 120.00
loop_
_atom_site_label
_atom_site_fract_x
_atom_site_fract_y
_atom_site_fract_z
Nd1 0.0000 0.0000 0.2396
In1 0.0000 0.0000 0.0000
Cl1 0.0000 0.0000 0.5000
```

Output
Energy relative to the elements, uncorrected = -0.8800 eV/atom
ΔE to the lowest computed polymorph = 8 meV/atom
D(E_F) = 1.8 states/eV/f.u.

---

Compound: Nd2InCl
Source: Alexandria via LeMat-Bulk
Functional: PBE
Structure: optimized geometry

```
data_Nd2InCl
_symmetry_space_group_name_H-M 'P 4/m m m'
_symmetry_Int_Tables_number 123
_symmetry_space_group_name_Hall '-P 4 2'
_cell_length_a 3.530
_cell_length_b 3.530
_cell_length_c 8.505
_cell_angle_alpha 90.00
_cell_angle_beta 90.00
_cell_angle_gamma 90.00
loop_
_atom_site_label
_atom_site_fract_x
_atom_site_fract_y
_atom_site_fract_z
Nd1 0.000 0.000 0.248
In1 0.500 0.500 0.500
Cl1 0.500 0.500 0.000
```

Output
Energy relative to the elements, uncorrected = -0.8782 eV/atom
ΔE to the lowest computed polymorph = 10 meV/atom
D(E_F) = 3.5 states/eV/f.u.

---

Compound: NdIn2Cl5
Source: Alexandria via LeMat-Bulk
Functional: PBE
Structure: optimized geometry

```
data_NdIn2Cl5
_symmetry_space_group_name_H-M 'P n m a'
_symmetry_Int_Tables_number 62
_cell_length_a 13.060
_cell_length_b 8.796
_cell_length_c 8.288
_cell_angle_alpha 90.00
_cell_angle_beta 90.00
_cell_angle_gamma 90.00
loop_
_symmetry_equiv_pos_as_xyz
'x,y,z'
'-x,-y,-z'
'-x+1/2,-y,z+1/2'
'x+1/2,y,-z+1/2'
'x+1/2,-y+1/2,-z+1/2'
'-x+1/2,y+1/2,z+1/2'
'-x,y+1/2,-z'
'x,-y+1/2,z'
loop_
_atom_site_label
_atom_site_fract_x
_atom_site_fract_y
_atom_site_fract_z
Nd1 0.005 0.250 0.076
In1 0.173 0.003 0.547
Cl1 0.008 0.250 0.415
Cl2 0.074 0.544 0.162
Cl3 0.182 0.250 0.889
Cl4 0.203 0.750 0.841
```

Output
Energy relative to the elements, uncorrected = -1.5737 eV/atom
D(E_F) = 0.0 states/eV/f.u.

---

Compound: Nd2InCl
Source: Alexandria via LeMat-Bulk
Functional: PBE
Structure: optimized geometry

```
data_Nd2InCl
_symmetry_space_group_name_H-M 'R 3 m'
_symmetry_Int_Tables_number 160
_symmetry_space_group_name_Hall 'R 3 -2"'
_cell_length_a 3.7428
_cell_length_b 3.7428
_cell_length_c 27.6646
_cell_angle_alpha 90.00
_cell_angle_beta 90.00
_cell_angle_gamma 120.00
loop_
_atom_site_label
_atom_site_fract_x
_atom_site_fract_y
_atom_site_fract_z
Nd1 0.0000 0.0000 0.0000
Nd2 0.0000 0.0000 0.1561
In1 0.0000 0.0000 0.5782
Cl1 0.0000 0.0000 0.7449
```

Output
Energy relative to the elements, uncorrected = -0.8885 eV/atom
ΔE to the lowest computed polymorph = 0 meV/atom
D(E_F) = 2.7 states/eV/f.u.

---

Compound: Nd2InCl8
Source: Alexandria via LeMat-Bulk
Functional: PBE
Structure: optimized geometry

```
data_Nd2InCl8
_symmetry_space_group_name_H-M 'C 1 2/m 1'
_symmetry_Int_Tables_number 12
_cell_length_a 11.385
_cell_length_b 8.818
_cell_length_c 6.988
_cell_angle_alpha 90.00
_cell_angle_beta 105.09
_cell_angle_gamma 90.00
loop_
_symmetry_equiv_pos_as_xyz
'x,y,z'
'-x,-y,-z'
'-x,y,-z'
'x,-y,z'
'x+1/2,y+1/2,z'
'-x+1/2,-y+1/2,-z'
'-x+1/2,y+1/2,-z'
'x+1/2,-y+1/2,z'
loop_
_atom_site_label
_atom_site_fract_x
_atom_site_fract_y
_atom_site_fract_z
Nd1 0.181 0.000 0.445
In1 0.000 0.500 0.000
Cl1 0.064 0.000 0.751
Cl2 0.145 0.307 0.300
Cl3 0.173 0.500 0.807
```

Output
Energy relative to the elements, uncorrected = -1.8440 eV/atom
D(E_F) = 3.5 states/eV/f.u.

---

Compound: NdInPbCl6
Source: Alexandria via LeMat-Bulk
Functional: PBE
Structure: optimized geometry

```
data_NdInPbCl6
_symmetry_space_group_name_H-M 'P -3 1 c'
_symmetry_Int_Tables_number 163
_symmetry_space_group_name_Hall '-P 3 2c'
_cell_length_a 7.4479
_cell_length_b 7.4479
_cell_length_c 13.4228
_cell_angle_alpha 90.00
_cell_angle_beta 90.00
_cell_angle_gamma 120.00
loop_
_atom_site_label
_atom_site_fract_x
_atom_site_fract_y
_atom_site_fract_z
Nd1 0.3333 0.6667 0.2500
In1 0.0000 0.0000 0.0000
Pb1 0.3333 0.6667 0.7500
Cl1 0.0161 0.3718 0.1345
```

Output
Energy relative to the elements, uncorrected = -1.5876 eV/atom
D(E_F) = 0.0 states/eV/f.u.

---

Compound: SrNdInCl6
Source: Alexandria via LeMat-Bulk
Functional: PBE
Structure: optimized geometry

```
data_SrNdInCl6
_symmetry_space_group_name_H-M 'P -3 1 c'
_symmetry_Int_Tables_number 163
_symmetry_space_group_name_Hall '-P 3 2c'
_cell_length_a 7.4872
_cell_length_b 7.4872
_cell_length_c 13.3429
_cell_angle_alpha 90.00
_cell_angle_beta 90.00
_cell_angle_gamma 120.00
loop_
_atom_site_label
_atom_site_fract_x
_atom_site_fract_y
_atom_site_fract_z
Sr1 0.3333 0.6667 0.2500
Nd1 0.3333 0.6667 0.7500
In1 0.0000 0.0000 0.0000
Cl1 0.0159 0.3731 0.6349
```

Output
Energy relative to the elements, uncorrected = -2.0188 eV/atom
D(E_F) = 0.0 states/eV/f.u.

---

Compound: In3NiCl
Source: Alexandria via LeMat-Bulk
Functional: PBE
Structure: optimized geometry

```
data_In3NiCl
_symmetry_space_group_name_H-M 'P m -3 m'
_symmetry_Int_Tables_number 221
_symmetry_space_group_name_Hall '-P 4 2 3'
_cell_length_a 5.628
_cell_length_b 5.628
_cell_length_c 5.628
_cell_angle_alpha 90.00
_cell_angle_beta 90.00
_cell_angle_gamma 90.00
loop_
_atom_site_label
_atom_site_fract_x
_atom_site_fract_y
_atom_site_fract_z
In1 0.000 0.000 0.500
Ni1 0.500 0.500 0.500
Cl1 0.000 0.000 0.000
```

Output
Energy relative to the elements, uncorrected = 0.6721 eV/atom
ΔE to the lowest computed polymorph = 1055 meV/atom
D(E_F) = 9.7 states/eV/f.u.